Entry from the Alexandria database: an optimized crystal structure of NdEuI2 (PBE-GGA).

a = 3.989 Å, b = 3.989 Å, c = 29.678 Å
α = 90.00°, β = 90.00°, γ = 120.00°
Fractional coordinates of all 12 atoms:
Nd  0.000  0.000  0.000
Nd  0.333  0.667  0.667
Nd  0.667  0.333  0.333
Eu  0.000  0.000  0.500
Eu  0.333  0.667  0.167
Eu  0.667  0.333  0.833
I  0.000  0.000  0.253
I  0.000  0.000  0.747
I  0.333  0.667  0.413
I  0.333  0.667  0.920
I  0.667  0.333  0.080
I  0.667  0.333  0.587

Computed properties:
Its mass density is 6.7 Mg/m³. For the uncorrected formation energy, the calculation gives -945 meV per atom. The offset from the most stable computed form is 0.0 kJ per mole of atoms. Its spin magnetization is 7.879 μB per formula unit. The total DFT energy (no corrections) is -5.481 eV/atom.